5
Lattice="-1.771 -3.733 2.055 2.859 -2.692 -2.426 3.161 0.342 3.345" Properties=species:S:1:pos:R:3 comment="Cr3PBr SCAN PBEsol geometry" raw_formation_energy_mev_per_atom=157 sg="Pm-3m, No. 221" pbc="T T T"
Cr -0.886 -1.867 1.028
P 0.000 0.000 0.000
Cr 1.580 0.171 1.673
Cr 1.429 -1.346 -1.213
Br 2.124 -3.042 1.487

***

4
Lattice="-0.424 2.954 -0.439 -1.985 0.336 4.175 4.314 0.913 1.978" Properties=species:S:1:pos:R:3 comment="Ag2IrBr SCAN PBEsol geometry" raw_formation_energy_mev_per_atom=759 sg="Pmmm, No. 47" pbc="T T T"
Ag 0.000 0.000 0.000
Br 1.945 1.934 0.769
Ag -1.205 1.645 1.868
Ir 1.164 0.625 3.077

***

5
Lattice="4.855 0.000 0.000 0.000 4.855 0.000 0.000 0.000 5.315" Properties=species:S:1:pos:R:3 comment="NaBePCl2 SCAN PBEsol geometry" raw_formation_energy_mev_per_atom=522 sg="P4/mmm, No. 123" pbc="T T T"
Na 0.000 0.000 0.000
Be 2.428 2.428 2.657
Cl 0.000 2.428 0.000
Cl 2.428 0.000 0.000
P 0.000 0.000 2.657

***

4
Lattice="2.650 0.000 0.000 0.000 4.561 0.005 -1.325 -2.253 4.201" Properties=species:S:1:pos:R:3 comment="CrIr SCAN PBEsol geometry" delta_e_f_ev_per_fu=-0.44 sg="C2/m, No. 12" pbc="T T T"
Cr 1.325 1.551 3.137
Ir 1.325 3.067 1.024
Ir 0.000 -0.759 3.181
Cr 0.000 0.757 1.069

***

5
Lattice="4.642 0.000 0.000 0.000 4.642 0.000 0.000 0.000 5.494" Properties=species:S:1:pos:R:3 comment="BaHfTc2Os SCAN PBEsol geometry" delta_e_f_ev_per_fu=12.13 sg="P4/mmm, No. 123" pbc="T T T"
Ba 0.000 0.000 2.747
Hf 0.000 0.000 0.000
Tc 0.000 2.321 0.000
Os 2.321 2.321 2.747
Tc 2.321 0.000 0.000

***

4
Lattice="-0.483 1.134 -2.104 -3.417 -0.270 0.638 0.090 4.307 2.300" Properties=species:S:1:pos:R:3 comment="MnFe2Ni SCAN PBEsol geometry" delta_e_f_ev_per_fu=0.19 sg="Pmm2, No. 25" pbc="T T T"
Fe 0.000 0.006 0.003
Fe -1.927 1.520 -0.152
Mn 0.044 2.124 1.135
Ni -1.882 3.675 0.999

***

5
Lattice="4.841 0.000 0.000 0.000 4.841 0.000 0.000 0.000 4.748" Properties=species:S:1:pos:R:3 comment="ZrTiAs2Br SCAN PBEsol geometry" raw_formation_energy_mev_per_atom=-27 sg="P4/mmm, No. 123" pbc="T T T"
Ti 0.000 0.000 0.000
As 0.000 2.421 0.000
Zr 2.421 2.421 2.374
As 2.421 0.000 0.000
Br 0.000 0.000 2.374

***

2
Lattice="-1.361 -2.493 2.389 -1.153 -3.308 -1.226 1.946 -3.057 0.801" Properties=species:S:1:pos:R:3 comment="CrRh SCAN PBEsol geometry" delta_e_f_ev_per_fu=1.95 sg="F-43m, No. 216" pbc="T T T"
Rh -0.426 -6.643 1.473
Cr 0.000 0.000 0.000

***

6
Lattice="-3.323 2.583 -0.994 -3.785 1.327 6.701 2.273 7.470 2.405" Properties=species:S:1:pos:R:3 comment="Ba2Au SCAN PBEsol geometry" delta_e_f_ev_per_fu=-1.85 sg="C2/m, No. 12" pbc="T T T"
Au -3.087 4.495 3.189
Ba -2.933 9.569 6.455
Ba -1.902 1.811 1.657
Ba 0.209 5.028 2.962
Ba -5.044 6.352 5.150
Au -1.748 6.885 4.923

***

4
Lattice="4.360 0.000 0.000 0.000 4.360 0.000 0.000 0.000 4.387" Properties=species:S:1:pos:R:3 comment="MgIn2Ag SCAN PBEsol geometry" delta_e_f_ev_per_fu=-0.36 sg="P4/mmm, No. 123" pbc="T T T"
Ag 0.000 0.000 2.194
Mg 2.180 2.180 2.194
In 0.000 2.180 0.000
In 2.180 0.000 0.000

***

5
Lattice="-0.374 2.640 -3.105 0.211 -3.101 -2.663 -6.311 -0.626 0.228" Properties=species:S:1:pos:R:3 comment="InAsIO2 SCAN PBEsol geometry" raw_formation_energy_mev_per_atom=-53 sg="P4/mmm, No. 123" pbc="T T T"
I -3.155 -0.313 0.114
O 0.106 -1.551 -1.331
As -3.237 -0.543 -2.770
In 0.000 0.000 0.000
O -0.187 1.320 -1.552

***

5
Lattice="-3.526 -0.861 -0.925 0.961 -3.608 -0.303 -1.256 -0.798 5.534" Properties=species:S:1:pos:R:3 comment="HgPOsN2 SCAN PBEsol geometry" raw_formation_energy_mev_per_atom=962 sg="P4/mmm, No. 123" pbc="T T T"
P -1.911 -2.634 2.153
Hg -0.628 -0.399 2.767
N -1.763 -0.431 -0.462
Os 0.000 0.000 0.000
N 0.480 -1.804 -0.151

***

4
Lattice="4.243 0.000 0.000 0.000 5.160 0.000 0.000 0.000 5.160" Properties=species:S:1:pos:R:3 comment="SrLa2Ni SCAN PBEsol geometry" delta_e_f_ev_per_fu=1.49 sg="P4/mmm, No. 123" pbc="T T T"
La 0.000 2.580 0.000
Sr 2.122 0.000 0.000
Ni 2.122 2.580 2.580
La 0.000 0.000 2.580

***

5
Lattice="4.957 0.000 0.000 0.000 4.921 0.000 0.000 0.000 4.921" Properties=species:S:1:pos:R:3 comment="TaTlP2Cl SCAN PBEsol geometry" raw_formation_energy_mev_per_atom=1610 sg="P4/mmm, No. 123" pbc="T T T"
Tl 0.000 0.000 0.000
Ta 2.479 2.461 2.461
P 0.000 2.461 0.000
Cl 2.479 0.000 0.000
P 0.000 0.000 2.461

***

5
Lattice="2.962 0.000 0.000 0.000 2.962 0.000 -1.481 -1.481 5.104" Properties=species:S:1:pos:R:3 comment="CuH2Rh2 SCAN PBEsol geometry" sg="I4/mmm, No. 139" final_energy_ev_per_atom=-17.879 pbc="T T T"
Cu 0.000 0.000 0.000
Rh 1.481 1.481 1.485
H 0.000 1.481 2.552
Rh 0.000 0.000 3.619
H 1.481 0.000 2.552

***

5
Lattice="5.541 0.000 0.000 0.000 5.541 0.000 0.000 0.000 5.675" Properties=species:S:1:pos:R:3 comment="LaReAsSe2 SCAN PBEsol geometry" raw_formation_energy_mev_per_atom=1131 sg="P4/mmm, No. 123" pbc="T T T"
La 0.000 0.000 0.000
Re 2.770 2.770 2.838
Se 2.770 0.000 0.000
As 0.000 0.000 2.838
Se 0.000 2.770 0.000

***

5
Lattice="4.779 0.000 0.000 0.000 4.779 0.000 0.000 0.000 5.111" Properties=species:S:1:pos:R:3 comment="MgAs2PtAu SCAN PBEsol geometry" delta_e_f_ev_per_fu=1.44 sg="P4/mmm, No. 123" pbc="T T T"
As 2.389 0.000 0.000
Mg 2.389 2.389 2.555
Pt 0.000 0.000 0.000
Au 0.000 0.000 2.555
As 0.000 2.389 0.000

***

4
Lattice="-2.373 -0.181 -2.360 -0.973 -2.972 1.206 -5.398 3.850 5.131" Properties=species:S:1:pos:R:3 comment="Mg2ScBr SCAN PBEsol geometry" raw_formation_energy_mev_per_atom=-310 sg="P4/mmm, No. 123" pbc="T T T"
Mg -1.366 0.974 1.298
Br -4.372 0.349 1.988
Mg -4.032 2.876 3.833
Sc -1.673 -1.577 -0.577

***

4
Lattice="3.636 0.000 0.000 0.000 4.422 0.000 -1.818 0.000 5.622" Properties=species:S:1:pos:R:3 comment="Y2PtBr SCAN PBEsol geometry" raw_formation_energy_mev_per_atom=-1149 sg="Amm2, No. 38" pbc="T T T"
Pt 1.818 2.211 2.677
Y 0.000 2.211 0.007
Br 1.818 0.000 0.095
Y 0.000 0.000 2.843

***

5
Lattice="-1.730 -2.943 0.494 3.833 -1.980 1.626 -1.104 1.365 4.263" Properties=species:S:1:pos:R:3 comment="FeP2BrO SCAN PBEsol geometry" raw_formation_energy_mev_per_atom=202 sg="P4/mmm, No. 123" pbc="T T T"
O -0.865 -1.471 0.247
P 1.917 -0.990 0.813
P -0.552 0.682 2.132
Fe 0.000 0.000 0.000
Br 0.500 -1.779 3.192